No. 1
{
  "formula": "KSr2Te",
  "functional": "meta-GGA SCAN",
  "state": "PBEsol geometry",
  "dos_at_fermi_per_ev_atom": 0.602,
  "magmom_total_mub_per_fu": 0.2,
  "space_group": "R-3m (166)",
  "formation_energy_uncorrected_ev_per_fu": -3.32,
  "cell": [[2.2275, 1.2861, 11.5972], [-2.2275, 1.2861, 11.5972], [0.0000, -2.5721, 11.5972]],
  "species": ["K", "Sr", "Sr", "Te"],
  "frac_coords": [[0.0000, 0.0000, 0.0000], [0.2245, 0.2245, 0.2245], [0.7755, 0.7755, 0.7755], [0.5000, 0.5000, 0.5000]]
}

No. 2
{
  "formula": "Co3HSe",
  "functional": "meta-GGA SCAN",
  "state": "PBEsol geometry",
  "dos_at_fermi_per_ev_atom": 0.491,
  "magmom_total_mub_per_fu": 6.0,
  "space_group": "Pm-3m (221)",
  "energy_ev_per_atom": -13.916,
  "cell": [[4.3441, 0.0000, 0.0000], [0.0000, 4.3441, 0.0000], [0.0000, 0.0000, 4.3441]],
  "species": ["Co", "Co", "Co", "H", "Se"],
  "frac_coords": [[0.0000, 0.0000, 0.5000], [0.0000, 0.5000, 0.0000], [0.5000, 0.0000, 0.0000], [0.5000, 0.5000, 0.5000], [0.0000, 0.0000, 0.0000]]
}

No. 3
{
  "formula": "TlRe2Sb",
  "functional": "meta-GGA SCAN",
  "state": "PBEsol geometry",
  "dos_at_fermi_per_ev_atom": 0.531,
  "magmom_total_mub_per_fu": 0.0,
  "space_group": "R3m (160)",
  "formation_energy_uncorrected_ev_per_fu": 2.24,
  "cell": [[1.4844, 0.8570, 10.4599], [-1.4844, 0.8570, 10.4599], [0.0000, -1.7141, 10.4599]],
  "species": ["Tl", "Re", "Re", "Sb"],
  "frac_coords": [[0.0000, 0.0000, 0.0000], [0.4790, 0.4790, 0.4790], [0.7499, 0.7499, 0.7499], [0.2195, 0.2195, 0.2195]]
}

No. 4
{
  "formula": "TaNiRh2",
  "functional": "meta-GGA SCAN",
  "state": "PBEsol geometry",
  "dos_at_fermi_per_ev_atom": 1.104,
  "magmom_total_mub_per_fu": 0.0,
  "space_group": "I4/mmm (139)",
  "energy_ev_per_atom": -38.044,
  "cell": [[-1.9323, 1.9323, 3.6562], [1.9323, -1.9323, 3.6562], [1.9323, 1.9323, -3.6562]],
  "species": ["Ta", "Ni", "Rh", "Rh"],
  "frac_coords": [[0.0000, 0.0000, 0.0000], [0.5000, 0.5000, 0.0000], [0.2500, 0.7500, 0.5000], [0.7500, 0.2500, 0.5000]]
}

No. 5
{
  "formula": "Al2Ag2Bi2S3Cl8",
  "functional": "meta-GGA SCAN",
  "state": "PBEsol geometry",
  "dos_at_fermi_per_ev_atom": 0.000,
  "magmom_total_mub_per_fu": 0.0,
  "space_group": "P-62c (190)",
  "formation_energy_uncorrected_ev_per_fu": -18.05,
  "cell": [[6.8500, 0.0000, 0.0000], [-3.4250, 5.9323, 0.0000], [0.0000, 0.0000, 22.1652]],
  "species": ["Al", "Al", "Al", "Al", "Ag", "Ag", "Ag", "Ag", "Bi", "Bi", "Bi", "Bi", "S", "S", "S", "S", "S", "S", "Cl", "Cl", "Cl", "Cl", "Cl", "Cl", "Cl", "Cl", "Cl", "Cl", "Cl", "Cl", "Cl", "Cl", "Cl", "Cl"],
  "frac_coords": [[0.3333, 0.6667, 0.0811], [0.3333, 0.6667, 0.4189], [0.6667, 0.3333, 0.5811], [0.6667, 0.3333, 0.9189], [0.0000, 0.0000, 0.2500], [0.0000, 0.0000, 0.7500], [0.3333, 0.6667, 0.2500], [0.6667, 0.3333, 0.7500], [0.3333, 0.6667, 0.6713], [0.3333, 0.6667, 0.8287], [0.6667, 0.3333, 0.1713], [0.6667, 0.3333, 0.3287], [0.0433, 0.3753, 0.7500], [0.3320, 0.9567, 0.7500], [0.3753, 0.0433, 0.2500], [0.6247, 0.6680, 0.7500], [0.6680, 0.6247, 0.2500], [0.9567, 0.3320, 0.2500], [0.0889, 0.7481, 0.1175], [0.0889, 0.7481, 0.3825], [0.2519, 0.3407, 0.1175], [0.2519, 0.3407, 0.3825], [0.3333, 0.6667, 0.5142], [0.3333, 0.6667, 0.9858], [0.3407, 0.2519, 0.6175], [0.3407, 0.2519, 0.8825], [0.6593, 0.9111, 0.1175], [0.6593, 0.9111, 0.3825], [0.6667, 0.3333, 0.0142], [0.6667, 0.3333, 0.4858], [0.7481, 0.0889, 0.6175], [0.7481, 0.0889, 0.8825], [0.9111, 0.6593, 0.6175], [0.9111, 0.6593, 0.8825]]
}

No. 6
{
  "formula": "NaSi2BH2O7",
  "functional": "meta-GGA SCAN",
  "state": "PBEsol geometry",
  "dos_at_fermi_per_ev_atom": 0.000,
  "magmom_total_mub_per_fu": 0.1,
  "space_group": "P2_1 (4)",
  "energy_ev_per_atom": -8.671,
  "cell": [[5.2194, 0.0000, 0.0000], [0.0000, 7.0722, 0.0000], [-1.6470, 0.0000, 9.6237]],
  "species": ["Na", "Na", "Si", "Si", "Si", "Si", "B", "B", "H", "H", "H", "H", "O", "O", "O", "O", "O", "O", "O", "O", "O", "O", "O", "O", "O", "O"],
  "frac_coords": [[0.0231, 0.0000, 0.0105], [0.9769, 0.5000, 0.9895], [0.1905, 0.6247, 0.3855], [0.2502, 0.0524, 0.4379], [0.7498, 0.5524, 0.5621], [0.8095, 0.1247, 0.6145], [0.2258, 0.3270, 0.2174], [0.7742, 0.8270, 0.7826], [0.1929, 0.7239, 0.8243], [0.4568, 0.7472, 0.9252], [0.5432, 0.2472, 0.0748], [0.8071, 0.2239, 0.1757], [0.0788, 0.0678, 0.5618], [0.1634, 0.2227, 0.3304], [0.1929, 0.8516, 0.3573], [0.2054, 0.5244, 0.2366], [0.2582, 0.7405, 0.9236], [0.2722, 0.2535, 0.1002], [0.4406, 0.5656, 0.5011], [0.5594, 0.0656, 0.4989], [0.7278, 0.7535, 0.8998], [0.7418, 0.2405, 0.0764], [0.7946, 0.0244, 0.7634], [0.8071, 0.3516, 0.6427], [0.8366, 0.7227, 0.6696], [0.9212, 0.5678, 0.4382]]
}

No. 7
{
  "formula": "WAu",
  "functional": "meta-GGA SCAN",
  "state": "PBEsol geometry",
  "dos_at_fermi_per_ev_atom": 0.430,
  "magmom_total_mub_per_fu": 0.0,
  "space_group": "C2/m (12)",
  "energy_ev_per_atom": -69.044,
  "cell": [[4.6875, -1.3550, 0.0000], [4.6875, 1.3550, 0.0000], [-0.6463, 0.0000, 5.0493]],
  "species": ["W", "W", "Au", "Au"],
  "frac_coords": [[0.1231, 0.1231, 0.3804], [0.8769, 0.8769, 0.6196], [0.3774, 0.3774, 0.1227], [0.6226, 0.6226, 0.8773]]
}

No. 8
{
  "formula": "RbZnSClO4",
  "functional": "meta-GGA SCAN",
  "state": "PBEsol geometry",
  "dos_at_fermi_per_ev_atom": 0.000,
  "magmom_total_mub_per_fu": 0.0,
  "space_group": "P2_1/c (14)",
  "formation_energy_uncorrected_ev_per_fu": -14.58,
  "cell": [[7.1964, 0.0000, 0.0000], [0.0000, 9.6475, 0.0000], [-0.8937, 0.0000, 8.3576]],
  "species": ["Rb", "Rb", "Rb", "Rb", "Zn", "Zn", "Zn", "Zn", "S", "S", "S", "S", "Cl", "Cl", "Cl", "Cl", "O", "O", "O", "O", "O", "O", "O", "O", "O", "O", "O", "O", "O", "O", "O", "O"],
  "frac_coords": [[0.1350, 0.0784, 0.3032], [0.1350, 0.4216, 0.8032], [0.8650, 0.5784, 0.1968], [0.8650, 0.9216, 0.6968], [0.4036, 0.6951, 0.4566], [0.4036, 0.8049, 0.9566], [0.5964, 0.1951, 0.0434], [0.5964, 0.3049, 0.5434], [0.3997, 0.0718, 0.7346], [0.3997, 0.4282, 0.2346], [0.6003, 0.5718, 0.7654], [0.6003, 0.9282, 0.2654], [0.1219, 0.6804, 0.5275], [0.1219, 0.8196, 0.0275], [0.8781, 0.1804, 0.9725], [0.8781, 0.3196, 0.4725], [0.2153, 0.0581, 0.6472], [0.2153, 0.4419, 0.1472], [0.3880, 0.1689, 0.8729], [0.3880, 0.3311, 0.3729], [0.4586, 0.6237, 0.8692], [0.4586, 0.8763, 0.3692], [0.4786, 0.5642, 0.2959], [0.4786, 0.9358, 0.7959], [0.5214, 0.0642, 0.2041], [0.5214, 0.4358, 0.7041], [0.5414, 0.1237, 0.6308], [0.5414, 0.3763, 0.1308], [0.6120, 0.6689, 0.6271], [0.6120, 0.8311, 0.1271], [0.7847, 0.5581, 0.8528], [0.7847, 0.9419, 0.3528]]
}

No. 9
{
  "formula": "ScCuOs2",
  "functional": "meta-GGA SCAN",
  "state": "PBEsol geometry",
  "dos_at_fermi_per_ev_atom": 0.607,
  "magmom_total_mub_per_fu": 0.0,
  "space_group": "F-43m (216)",
  "energy_ev_per_atom": -43.291,
  "cell": [[0.0000, 3.0756, 3.0756], [3.0756, 0.0000, 3.0756], [3.0756, 3.0756, 0.0000]],
  "species": ["Sc", "Cu", "Os", "Os"],
  "frac_coords": [[0.0000, 0.0000, 0.0000], [0.7500, 0.7500, 0.7500], [0.2500, 0.2500, 0.2500], [0.5000, 0.5000, 0.5000]]
}

No. 10
{
  "formula": "K2OsRh",
  "functional": "meta-GGA SCAN",
  "state": "PBEsol geometry",
  "dos_at_fermi_per_ev_atom": 0.732,
  "magmom_total_mub_per_fu": 2.0,
  "space_group": "P4/mmm (123)",
  "energy_ev_per_atom": -29.389,
  "cell": [[3.7694, 0.0000, 0.0000], [0.0000, 3.7694, 0.0000], [0.0000, 0.0000, 5.4470]],
  "species": ["K", "K", "Os", "Rh"],
  "frac_coords": [[0.0000, 0.5000, 0.0000], [0.5000, 0.0000, 0.0000], [0.0000, 0.0000, 0.5000], [0.5000, 0.5000, 0.5000]]
}

No. 11
{
  "formula": "TaZn3Cr",
  "functional": "meta-GGA SCAN",
  "state": "PBEsol geometry",
  "dos_at_fermi_per_ev_atom": 0.963,
  "magmom_total_mub_per_fu": 3.1,
  "space_group": "Pm-3m (221)",
  "energy_ev_per_atom": -23.820,
  "cell": [[4.8732, 0.0000, 0.0000], [0.0000, 4.8732, 0.0000], [0.0000, 0.0000, 4.8732]],
  "species": ["Ta", "Zn", "Zn", "Zn", "Cr"],
  "frac_coords": [[0.0000, 0.0000, 0.0000], [0.0000, 0.0000, 0.5000], [0.0000, 0.5000, 0.0000], [0.5000, 0.0000, 0.0000], [0.5000, 0.5000, 0.5000]]
}

No. 12
{
  "formula": "YMnCo2Os",
  "functional": "meta-GGA SCAN",
  "state": "PBEsol geometry",
  "dos_at_fermi_per_ev_atom": 0.520,
  "magmom_total_mub_per_fu": 6.3,
  "space_group": "P4/mmm (123)",
  "energy_ev_per_atom": -28.569,
  "cell": [[4.4194, 0.0000, 0.0000], [0.0000, 4.4194, 0.0000], [0.0000, 0.0000, 4.8055]],
  "species": ["Y", "Mn", "Co", "Co", "Os"],
  "frac_coords": [[0.0000, 0.0000, 0.0000], [0.5000, 0.5000, 0.5000], [0.0000, 0.5000, 0.0000], [0.5000, 0.0000, 0.0000], [0.0000, 0.0000, 0.5000]]
}